Nd2P3Au (PBE-GGA, relaxed); SG = Pnma; energy relative to the elements = -1023 meV per atom
1.0
-5.875 -3.708 3.404
-1.625 -0.870 -3.753
6.883 -14.771 -4.212
P Nd Au
12 8 4
direct
0.799 0.955 0.296 P
0.465 0.157 0.094 P
0.299 0.045 0.204 P
0.618 0.662 0.588 P
0.382 0.338 0.412 P
0.118 0.338 0.912 P
0.701 0.955 0.796 P
0.965 0.843 0.406 P
0.882 0.662 0.088 P
0.201 0.045 0.704 P
0.535 0.843 0.906 P
0.035 0.157 0.594 P
0.098 0.453 0.297 Nd
0.598 0.547 0.203 Nd
0.267 0.727 0.523 Nd
0.402 0.453 0.797 Nd
0.767 0.273 0.977 Nd
0.233 0.727 0.023 Nd
0.902 0.547 0.703 Nd
0.733 0.273 0.477 Nd
0.005 0.899 0.851 Au
0.505 0.101 0.649 Au
0.995 0.101 0.149 Au
0.495 0.899 0.351 Au


HoZn3 (PBE-GGA, relaxed); SG = Pmmm; energy relative to the elements = -217 meV per atom
1.0
4.224 0.000 0.000
0.000 4.275 0.000
0.000 0.000 4.246
Zn Ho
3 1
direct
0.500 0.500 0.917 Zn
0.500 0.000 0.417 Zn
0.000 0.000 0.917 Zn
0.000 0.500 0.417 Ho